Entry 1:
Computed, not measured: a relaxed structure of PmAgHgSb at the GGA-PBE level of DFT.

a b c (Å): 5.2043 5.2043 5.2043
angles (deg): 60.00 60.00 60.00
Last column: nearest neighbours and their distance in Å.
Fractional positions:
Sb (0.0000, 0.0000, 0.0000)  4 Hg 3.19, 4 Ag 3.19
Hg (0.2500, 0.2500, 0.2500)  4 Sb 3.19, 4 Pm 3.19
Ag (0.7500, 0.7500, 0.7500)  4 Pm 3.19, 4 Sb 3.19
Pm (0.5000, 0.5000, 0.5000)  4 Ag 3.19, 4 Hg 3.19

Values from the calculation:
The energy relative to the elements, uncorrected comes out at -0.306 eV per atom. The calculation puts the density of states at the Fermi level at 0.32 states/eV/atom. For the total energy, the calculation gives -13.25 eV per cell. The calculation puts the density at 9.6 Mg/m³. The volume comes out at 100 Å³/cell.



Entry 2:
Computed, not measured: a relaxed structure of PmSc2AgHg4 at the GGA-PBE level of DFT.

a b c (Å): 4.9148 4.9148 9.2981
angles (deg): 74.68 74.68 60.00
Last column: nearest neighbours and their distance in Å.
Fractional positions:
Pm (0.0000, 0.0000, 0.0000)  8 Hg 3.16-3.32
Sc (0.7616, 0.7616, 0.7151)  7 Hg 2.95-3.06
Sc (0.2384, 0.2384, 0.2849)  7 Hg 2.95-3.06
Ag (0.5000, 0.5000, 0.5000)  8 Hg 3.04
Hg (0.3854, 0.3854, 0.8438)  1 Ag 3.04, 3 Sc 3.06, 3 Pm 3.16
Hg (0.8749, 0.8749, 0.3754)  4 Sc 2.95-3.01, 3 Ag 3.04
Hg (0.1251, 0.1251, 0.6246)  4 Sc 2.95-3.01, 3 Ag 3.04
Hg (0.6146, 0.6146, 0.1562)  1 Ag 3.04, 3 Sc 3.06, 3 Pm 3.16

Values from the calculation:
The calculation puts the density of states at the Fermi level at 0.89 states/eV/atom. Its formation enthalpy at 0 K is -0.32 eV/atom. For the total energy, the calculation gives -24.01 eV per cell. The calculation puts the density at 10.3 Mg/m³. The volume comes out at 185 Å³/cell.



Entry 3:
Computed, not measured: a relaxed structure of PmSm2AgHg4 at the GGA-PBE level of DFT.

a b c (Å): 5.1491 5.1491 9.4704
angles (deg): 74.23 74.23 60.00
Last column: nearest neighbours and their distance in Å.
Fractional positions:
Pm (0.0000, 0.0000, 0.0000)  8 Hg 3.18-3.37
Sm (0.7598, 0.7598, 0.7205)  7 Hg 3.09-3.27
Sm (0.2402, 0.2402, 0.2795)  7 Hg 3.09-3.27
Ag (0.5000, 0.5000, 0.5000)  8 Hg 3.18-3.36
Hg (0.3756, 0.3756, 0.8732)  3 Pm 3.18, 3 Sm 3.27, 1 Ag 3.36
Hg (0.8751, 0.8751, 0.3748)  4 Sm 3.09-3.11, 3 Ag 3.18, 1 Pm 3.37
Hg (0.1249, 0.1249, 0.6252)  4 Sm 3.09-3.11, 3 Ag 3.18, 1 Pm 3.37
Hg (0.6244, 0.6244, 0.1268)  3 Pm 3.18, 3 Sm 3.27, 1 Ag 3.36

Values from the calculation:
The calculation puts the density of states at the Fermi level at 0.92 states/eV/atom. Its formation enthalpy at 0 K is -0.39 eV/atom. For the total energy, the calculation gives -21.37 eV per cell. The calculation puts the density at 10.9 Mg/m³. The volume comes out at 206 Å³/cell.



Entry 4:
Computed, not measured: a relaxed structure of Pm2SmAg2Hg2 at the GGA-PBE level of DFT.

a b c (Å): 4.9079 4.9079 9.3210
angles (deg): 74.74 74.74 60.00
Last column: nearest neighbours and their distance in Å.
Fractional positions:
Pm (0.1236, 0.1236, 0.6293)  3 Hg 3.16, 3 Ag 3.25, 1 Sm 3.29
Pm (0.8764, 0.8764, 0.3707)  3 Hg 3.16, 3 Ag 3.25, 1 Sm 3.29
Sm (0.0000, 0.0000, 0.0000)  2 Pm 3.29, 6 Ag 3.30, 6 Hg 3.41
Ag (0.6032, 0.6032, 0.1905)  3 Hg 2.84
Ag (0.3968, 0.3968, 0.8095)  3 Hg 2.84
Hg (0.7381, 0.7381, 0.7858)  3 Ag 2.84, 3 Pm 3.16
Hg (0.2619, 0.2619, 0.2142)  3 Ag 2.84, 3 Pm 3.16

Values from the calculation:
The calculation puts the density of states at the Fermi level at 0.85 states/eV/atom. Its formation enthalpy at 0 K is -0.25 eV/atom. For the total energy, the calculation gives -22.28 eV per cell. The calculation puts the density at 9.5 Mg/m³. The volume comes out at 185 Å³/cell.



Entry 5:
Computed, not measured: a relaxed structure of SrPmAgHg at the GGA-PBE level of DFT.

a b c (Å): 5.4452 5.4452 5.4452
angles (deg): 60.00 60.00 60.00
Last column: nearest neighbours and their distance in Å.
Fractional positions:
Sr (0.5000, 0.5000, 0.5000)  4 Hg 3.33, 4 Ag 3.33
Hg (0.7500, 0.7500, 0.7500)  4 Pm 3.33, 4 Sr 3.33
Ag (0.2500, 0.2500, 0.2500)  4 Pm 3.33, 4 Sr 3.33
Pm (0.0000, 0.0000, 0.0000)  4 Hg 3.33, 4 Ag 3.33

Values from the calculation:
The calculation puts the density of states at the Fermi level at 0.88 states/eV/atom. As for the energy above the most stable polymorph in this dataset: 0.0393 eV per atom. Its formation enthalpy at 0 K is -0.35 eV/atom. For the total energy, the calculation gives -10.97 eV per cell. The calculation puts the density at 7.9 Mg/m³. The volume comes out at 114 Å³/cell.



Entry 6:
Computed, not measured: a relaxed structure of SrPmAgHg at the GGA-PBE level of DFT.

a b c (Å): 3.8584 3.8584 7.7610
angles (deg): 90.00 90.00 90.00
Last column: nearest neighbours and their distance in Å.
Fractional positions:
Sr (0.0000, 0.0000, 0.8596)  4 Ag 3.47, 4 Hg 3.48, 1 Pm 3.81, 4 Sr 3.86
Pm (0.0000, 0.0000, 0.3508)  4 Ag 3.20, 4 Hg 3.27
Ag (0.5000, 0.5000, 0.1355)  4 Pm 3.20, 1 Hg 3.47, 4 Sr 3.47
Hg (0.5000, 0.5000, 0.5820)  4 Pm 3.27, 1 Ag 3.47, 4 Sr 3.48

Values from the calculation:
The calculation puts the density of states at the Fermi level at 0.79 states/eV/atom. As for the energy above the most stable polymorph in this dataset: 0.0000 eV per atom. Its formation enthalpy at 0 K is -0.38 eV/atom. For the total energy, the calculation gives -11.12 eV per cell. The calculation puts the density at 7.8 Mg/m³. The volume comes out at 116 Å³/cell.



Entry 7:
Computed, not measured: a relaxed structure of TbPm2AgHg4 at the GGA-PBE level of DFT.

a b c (Å): 5.1843 5.1843 9.2549
angles (deg): 73.74 73.74 60.00
Last column: nearest neighbours and their distance in Å.
Fractional positions:
Tb (0.0000, 0.0000, 0.0000)  8 Hg 3.15-3.24
Pm (0.7582, 0.7582, 0.7254)  8 Hg 3.11-3.37
Pm (0.2418, 0.2418, 0.2746)  8 Hg 3.11-3.37
Ag (0.5000, 0.5000, 0.5000)  8 Hg 3.20-3.41, 6 Pm 3.59
Hg (0.3702, 0.3702, 0.8895)  3 Tb 3.15, 4 Pm 3.32-3.37, 1 Ag 3.41
Hg (0.8766, 0.8766, 0.3701)  4 Pm 3.11, 3 Ag 3.20, 1 Tb 3.24
Hg (0.1234, 0.1234, 0.6299)  4 Pm 3.11, 3 Ag 3.20, 1 Tb 3.24
Hg (0.6298, 0.6298, 0.1105)  3 Tb 3.15, 4 Pm 3.32-3.37, 1 Ag 3.41

Values from the calculation:
The calculation puts the density of states at the Fermi level at 0.93 states/eV/atom. Its formation enthalpy at 0 K is -0.40 eV/atom. For the total energy, the calculation gives -21.41 eV per cell. The calculation puts the density at 11.1 Mg/m³. The volume comes out at 204 Å³/cell.



Entry 8:
Computed, not measured: a relaxed structure of Pm2ThAg2Hg2 at the GGA-PBE level of DFT.

a b c (Å): 4.9198 4.9198 9.3343
angles (deg): 74.72 74.72 60.00
Last column: nearest neighbours and their distance in Å.
Fractional positions:
Pm (0.1233, 0.1233, 0.6301)  3 Hg 3.15, 3 Ag 3.26, 1 Th 3.29
Pm (0.8767, 0.8767, 0.3699)  3 Hg 3.15, 3 Ag 3.26, 1 Th 3.29
Th (0.0000, 0.0000, 0.0000)  2 Pm 3.29, 6 Ag 3.30, 6 Hg 3.43
Ag (0.6036, 0.6036, 0.1891)  3 Hg 2.85
Ag (0.3964, 0.3964, 0.8109)  3 Hg 2.85
Hg (0.7389, 0.7389, 0.7834)  3 Ag 2.85, 3 Pm 3.15
Hg (0.2611, 0.2611, 0.2166)  3 Ag 2.85, 3 Pm 3.15

Values from the calculation:
The calculation puts the density of states at the Fermi level at 0.69 states/eV/atom. Its formation enthalpy at 0 K is -0.20 eV/atom. For the total energy, the calculation gives -24.60 eV per cell. The calculation puts the density at 10.1 Mg/m³. The volume comes out at 186 Å³/cell.



Entry 9:
Computed, not measured: a relaxed structure of PmTlAgHg at the GGA-PBE level of DFT.

a b c (Å): 5.1546 5.1546 5.1546
angles (deg): 60.00 60.00 60.00
Last column: nearest neighbours and their distance in Å.
Fractional positions:
Tl (0.5000, 0.5000, 0.5000)  4 Ag 3.16, 4 Pm 3.16
Hg (0.0000, 0.0000, 0.0000)  4 Pm 3.16, 4 Ag 3.16
Ag (0.2500, 0.2500, 0.2500)  4 Hg 3.16, 4 Tl 3.16
Pm (0.7500, 0.7500, 0.7500)  4 Hg 3.16, 4 Tl 3.16

Values from the calculation:
The calculation puts the density of states at the Fermi level at 0.75 states/eV/atom. Its formation enthalpy at 0 K is -0.27 eV/atom. For the total energy, the calculation gives -11.34 eV per cell. The calculation puts the density at 11.3 Mg/m³. The volume comes out at 97 Å³/cell.



Entry 10:
Computed, not measured: a relaxed structure of Pm4TlAgHg2 at the GGA-PBE level of DFT.

a b c (Å): 5.3801 5.3801 9.3565
angles (deg): 73.29 73.29 60.00
Last column: nearest neighbours and their distance in Å.
Fractional positions:
Pm (0.3782, 0.3782, 0.8653)  1 Ag 3.22, 4 Hg 3.26-3.36, 3 Tl 3.33
Pm (0.8722, 0.8722, 0.3835)  3 Ag 3.27, 4 Hg 3.27-3.34, 1 Tl 3.38
Pm (0.1278, 0.1278, 0.6165)  3 Ag 3.27, 4 Hg 3.27-3.34, 1 Tl 3.38
Pm (0.6218, 0.6218, 0.1347)  1 Ag 3.22, 4 Hg 3.26-3.36, 3 Tl 3.33
Tl (0.0000, 0.0000, 0.0000)  8 Pm 3.33-3.38
Ag (0.5000, 0.5000, 0.5000)  8 Pm 3.22-3.27
Hg (0.7486, 0.7486, 0.7542)  8 Pm 3.26-3.36
Hg (0.2514, 0.2514, 0.2458)  8 Pm 3.26-3.36

Values from the calculation:
The calculation puts the density of states at the Fermi level at 1.21 states/eV/atom. Its formation enthalpy at 0 K is -0.39 eV/atom. For the total energy, the calculation gives -27.96 eV per cell. The calculation puts the density at 9.7 Mg/m³. The volume comes out at 221 Å³/cell.



Entry 11:
Computed, not measured: a relaxed structure of Pm4Tl2AgHg at the GGA-PBE level of DFT.

a b c (Å): 5.4192 5.4192 9.3989
angles (deg): 73.24 73.24 60.00
Last column: nearest neighbours and their distance in Å.
Fractional positions:
Pm (0.3762, 0.3762, 0.8715)  1 Ag 3.29, 4 Tl 3.31-3.35, 3 Hg 3.33
Pm (0.8739, 0.8739, 0.3783)  4 Tl 3.30-3.33, 3 Ag 3.31, 1 Hg 3.35
Pm (0.1261, 0.1261, 0.6217)  4 Tl 3.30-3.33, 3 Ag 3.31, 1 Hg 3.35
Pm (0.6238, 0.6238, 0.1285)  1 Ag 3.29, 4 Tl 3.31-3.35, 3 Hg 3.33
Tl (0.7499, 0.7499, 0.7503)  8 Pm 3.30-3.35
Tl (0.2501, 0.2501, 0.2497)  8 Pm 3.30-3.35
Ag (0.5000, 0.5000, 0.5000)  8 Pm 3.29-3.31
Hg (0.0000, 0.0000, 0.0000)  8 Pm 3.33-3.35

Values from the calculation:
The calculation puts the density of states at the Fermi level at 0.98 states/eV/atom. Its formation enthalpy at 0 K is -0.38 eV/atom. For the total energy, the calculation gives -29.91 eV per cell. The calculation puts the density at 9.6 Mg/m³. The volume comes out at 225 Å³/cell.



Entry 12:
Computed, not measured: a relaxed structure of PmTm2AgHg4 at the GGA-PBE level of DFT.

a b c (Å): 5.0483 5.0483 9.3544
angles (deg): 74.35 74.35 60.00
Last column: nearest neighbours and their distance in Å.
Fractional positions:
Pm (0.0000, 0.0000, 0.0000)  8 Hg 3.18-3.34
Tm (0.7602, 0.7602, 0.7195)  7 Hg 3.03-3.16
Tm (0.2398, 0.2398, 0.2805)  7 Hg 3.03-3.16
Ag (0.5000, 0.5000, 0.5000)  8 Hg 3.12-3.18
Hg (0.3806, 0.3806, 0.8581)  3 Tm 3.16, 3 Pm 3.18, 1 Ag 3.18
Hg (0.8749, 0.8749, 0.3753)  4 Tm 3.03-3.06, 3 Ag 3.12, 1 Pm 3.34
Hg (0.1251, 0.1251, 0.6247)  4 Tm 3.03-3.06, 3 Ag 3.12, 1 Pm 3.34
Hg (0.6194, 0.6194, 0.1419)  3 Tm 3.16, 3 Pm 3.18, 1 Ag 3.18

Values from the calculation:
The calculation puts the density of states at the Fermi level at 0.72 states/eV/atom. Its formation enthalpy at 0 K is -0.37 eV/atom. For the total energy, the calculation gives -20.70 eV per cell. The calculation puts the density at 11.8 Mg/m³. The volume comes out at 196 Å³/cell.